First-principles (PBEsol) data for a relaxed Ca2TaCl crystal, as listed in Alexandria.

abc: 4.2663 4.2663 6.5757
angles: 108.93 108.93 90.00
Last column: magnetic moment on the atom in μB.
Positions (direct):
Ca1 0.0000 0.0000 0.0000  0.08
Ca2 0.7500 0.2500 0.5000  0.17
Cl1 0.5000 0.5000 0.0000  0.04
Ta1 0.2500 0.7500 0.5000  1.85

Values from the calculation:
Energy relative to the elements, uncorrected, eV/f.u.: 1.8
Total magnetization, Bohr magnetons per cell: 3.54
Total energy, eV per cell: -17.042
SG: I-4m2
Crystal system: tetragonal

First-principles (PBEsol) data for a relaxed EuIn4Cu crystal, as listed in Alexandria.

abc: 4.4612 7.2439 8.7123
angles: 90.00 104.83 90.00
Last column: magnetic moment on the atom in μB.
Positions (direct):
Eu1 0.8804 0.7500 0.7608  6.79
Eu2 0.1196 0.2500 0.2392  6.79
In1 0.5000 0.0000 0.0000  0.00
In2 0.5000 0.5000 0.0000  0.00
In3 0.0710 0.7500 0.1420  0.00
In4 0.9290 0.2500 0.8580  0.00
In5 0.6852 0.9530 0.3704  0.00
In6 0.3148 0.0470 0.6296  0.00
In7 0.6852 0.5470 0.3704  0.00
In8 0.3148 0.4530 0.6296  0.00
Cu1 0.2260 0.7500 0.4520  0.00
Cu2 0.7740 0.2500 0.5480  0.00

Values from the calculation:
Total magnetization, Bohr magnetons per cell: 14.00
Total energy, eV per cell: -57.580
SG: Cmcm
Formation energy, eV per atom: -0.33
Crystal system: orthorhombic

First-principles (PBEsol) data for a relaxed Y2AlCu crystal, as listed in Alexandria.

abc: 3.6513 4.3753 5.8715
angles: 90.00 108.12 90.00
Positions (direct):
Y1 0.9744 0.0000 0.9488
Y2 0.2760 0.5000 0.5521
Al1 0.6907 0.0000 0.3815
Cu1 0.5604 0.5000 0.1207

Values from the calculation:
Total magnetization, Bohr magnetons per cell: 0.00
Total energy, eV per cell: -23.205
SG: Amm2
Formation energy, eV per atom: -0.28
Crystal system: orthorhombic

First-principles (PBEsol) data for a relaxed CrAg2Cl crystal, as listed in Alexandria.

abc: 3.0207 5.1855 5.2497
angles: 119.60 90.00 90.00
Last column: magnetic moment on the atom in μB.
Positions (direct):
Cr1 0.5000 0.5000 0.0000  3.71
Ag1 0.0000 0.5000 0.5000  0.00
Ag2 0.0000 0.0000 0.5000  0.00
Cl1 0.5000 0.0000 0.0000  -0.05

Values from the calculation:
Energy relative to the elements, uncorrected, eV/f.u.: 1.6
Total magnetization, Bohr magnetons per cell: 4.07
Total energy, eV per cell: -17.252
SG: Cmmm
Crystal system: orthorhombic

First-principles (PBEsol) data for a relaxed Y2Ag2As crystal, as listed in Alexandria.

abc: 5.5215 5.5215 5.5215
angles: 88.78 60.70 119.30
Positions (direct):
Ag1 0.0000 0.6596 0.3404
Ag2 0.0000 0.3404 0.6596
As1 0.0000 0.0000 0.0000
Y1 0.5000 0.2500 0.2500
Y2 0.5000 0.7500 0.7500

Values from the calculation:
Total magnetization, Bohr magnetons per cell: 0.00
Total energy, eV per cell: -25.871
SG: I4/mmm
Formation energy, eV per atom: -0.10
Crystal system: tetragonal

First-principles (PBEsol) data for a relaxed ZnSb2 crystal, as listed in Alexandria.

abc: 3.0619 5.6619 8.2474
angles: 90.00 100.70 90.00
Positions (direct):
Sb1 0.6780 0.7500 0.3560
Sb2 0.9754 0.7500 0.9508
Sb3 0.0246 0.2500 0.0492
Sb4 0.3220 0.2500 0.6440
Zn1 0.3261 0.7500 0.6522
Zn2 0.6739 0.2500 0.3478

Values from the calculation:
Energy relative to the elements, uncorrected, eV/f.u.: 0.3
Total magnetization, Bohr magnetons per cell: 0.00
Total energy, eV per cell: -20.734
SG: Cmcm
Crystal system: orthorhombic